[1]
Computed, not measured: crystalline ErMgRhAu at its relaxed geometry at the PBE-GGA level of DFT.

```
4
Lattice="0.000 3.364 3.364 3.364 0.000 3.364 3.364 3.364 0.000" Properties=species:S:1:pos:R:3 pbc="T T T"
Er 0.000 0.000 0.000
Mg 3.364 3.364 3.364
Rh 1.682 1.682 1.682
Au 5.047 5.047 5.047
```

Values from the calculation:
- D(E_F): 0.615 states/eV per atom
- Size of the total moment: 0.000 μB/atom
- Energy relative to the elements: -0.71 eV/atom

---

[2]
Computed, not measured: crystalline ErMgSbAu at its relaxed geometry at the PBE-GGA level of DFT.

```
4
Lattice="0.000 3.587 3.587 3.587 0.000 3.587 3.587 3.587 0.000" Properties=species:S:1:pos:R:3 pbc="T T T"
Er 0.000 0.000 0.000
Mg 3.587 3.587 3.587
Sb 1.794 1.794 1.794
Au 5.381 5.381 5.381
```

Values from the calculation:
- D(E_F): 0.872 states/eV per atom
- Formation energy without anion corrections: -216 kJ/mol of formula units
- Size of the total moment: 0.000 μB/atom

---

[3]
Computed, not measured: crystalline ErMgScAu at its relaxed geometry at the PBE-GGA level of DFT.

```
4
Lattice="0.000 3.555 3.555 3.555 0.000 3.555 3.555 3.555 0.000" Properties=species:S:1:pos:R:3 pbc="T T T"
Er 0.000 0.000 0.000
Mg 5.332 5.332 5.332
Sc 3.555 3.555 3.555
Au 1.777 1.777 1.777
```

Values from the calculation:
- D(E_F): 0.977 states/eV per atom
- Size of the total moment: 0.000 μB/atom
- Energy relative to the elements: -0.40 eV/atom